! Ca2Ge4Pd3Pt | Alexandria | PBE | optimized geometry; values from VASP
! Magnetization   0.0 μB/cell
! Formation enthalpy at 0 K   -7.098 eV/f.u.
! DFT total energy   -51.190 eV for the cell shown
&SYSTEM
  ibrav = 0, nat = 10, ntyp = 4
/
ATOMIC_SPECIES
Ca 40.08 Ca.upf
Ge 72.64 Ge.upf
Pd 106.42 Pd.upf
Pt 195.08 Pt.upf
CELL_PARAMETERS angstrom
4.273 0.000 0.000
0.000 4.273 0.000
0.000 0.000 10.533
ATOMIC_POSITIONS crystal
Ca 0.000 0.500 0.247
Ca 0.500 0.000 0.753
Ge 0.000 0.000 0.000
Ge 0.000 0.500 0.630
Ge 0.500 0.000 0.370
Ge 0.500 0.500 0.000
Pd 0.000 0.500 0.864
Pd 0.500 0.000 0.136
Pd 0.500 0.500 0.500
Pt 0.000 0.000 0.500